# Ca2Be3AlPt4, relaxed, DFT GGA-PBE
# calculated total energy	-5.15	eV per atom
# density	9.30	g/cm³
# energy of formation	-0.85	eV/atom
# size of the total moment	0.00	μB/cell
# D(E_F)	3.9	states/eV/cell
data_Ca2Be3AlPt4
_cell_length_a 4.053
_cell_length_b 4.053
_cell_length_c 9.937
_cell_angle_alpha 90.00
_cell_angle_beta 90.00
_cell_angle_gamma 90.00
_space_group_name_H-M_alt 'P -4 m 2'
_space_group_IT_number 115
_space_group_name_Hall 'P -4 -2'
loop_
_atom_site_label
_atom_site_type_symbol
_atom_site_fract_x
_atom_site_fract_y
_atom_site_fract_z
_atom_site_occupancy
Ca1 Ca 0.000 0.500 0.240 1
Be1 Be 0.000 0.500 0.883 1
Be2 Be 0.500 0.500 0.500 1
Al1 Al 0.000 0.000 0.500 1
Pt1 Pt 0.000 0.000 0.000 1
Pt2 Pt 0.000 0.500 0.641 1
Pt3 Pt 0.500 0.500 0.000 1



# ZrCrGe, relaxed, DFT GGA-PBE
# calculated total energy	-7.64	eV per atom
# density	6.87	g/cm³
# energy of formation	-0.05	eV/atom
# size of the total moment	0.00	μB/cell
# D(E_F)	9.9	states/eV/cell
data_ZrCrGe
_cell_length_a 9.623
_cell_length_b 3.096
_cell_length_c 7.016
_cell_angle_alpha 90.00
_cell_angle_beta 93.55
_cell_angle_gamma 90.00
_space_group_name_H-M_alt 'C 1 2/m 1'
_space_group_IT_number 12
_space_group_name_Hall '-C 2y'
loop_
_atom_site_label
_atom_site_type_symbol
_atom_site_fract_x
_atom_site_fract_y
_atom_site_fract_z
_atom_site_occupancy
Zr1 Zr 0.068 0.000 0.241 1
Cr1 Cr 0.176 0.500 0.941 1
Ge1 Ge 0.150 0.500 0.583 1



- energy of formation of number 2 (ZrCrGe)?
  -0.05 eV/atom



- The lowest D(E_F) belongs to which entry?
  Ca2Be3AlPt4